Entry 1:
Computed, not measured: Pm2SmDy5Er after structural relaxation at the GGA-PBE level of DFT.

Properties
As for the crystal system: tetragonal. The density of states at the Fermi level comes out at 22.379 states/eV per cell. The value obtained for the formation energy is 0.27 eV per atom.

a b c (Å): 9.903 9.903 9.903
angles (deg): 127.97 127.97 76.68
Atoms (fractional coordinates):
1 Pm 0.117 0.617 0.734
2 Pm 0.383 0.117 0.500
3 Pm 0.617 0.883 0.500
4 Pm 0.883 0.383 0.266
5 Sm 0.250 0.250 0.000
6 Sm 0.750 0.750 0.000
7 Dy 0.000 0.000 0.000
8 Dy 0.072 0.151 0.500
9 Dy 0.151 0.651 0.079
10 Dy 0.349 0.428 0.500
11 Dy 0.428 0.928 0.079
12 Dy 0.500 0.500 0.000
13 Dy 0.572 0.072 0.921
14 Dy 0.651 0.572 0.500
15 Dy 0.849 0.349 0.921
16 Dy 0.928 0.849 0.500
17 Er 0.250 0.750 0.500
18 Er 0.750 0.250 0.500

---

Entry 2:
Computed, not measured: B2RuW2 after structural relaxation at the GGA-PBE level of DFT.

Properties
As for the crystal system: tetragonal. The density of states at the Fermi level comes out at 7.042 states/eV per cell. The value obtained for the formation energy is -0.24 eV per atom.

a b c (Å): 5.592 5.592 3.641
angles (deg): 90.00 90.00 90.00
Atoms (fractional coordinates):
1 B 0.117 0.383 0.000
2 B 0.383 0.883 0.000
3 B 0.617 0.117 0.000
4 B 0.883 0.617 0.000
5 Ru 0.000 0.000 0.000
6 Ru 0.500 0.500 0.000
7 W 0.171 0.671 0.500
8 W 0.329 0.171 0.500
9 W 0.671 0.829 0.500
10 W 0.829 0.329 0.500

---

Entry 3:
Computed, not measured: KMnNi after structural relaxation at the GGA-PBE level of DFT.

Properties
As for the crystal system: triclinic. The density of states at the Fermi level comes out at 3.611 states/eV per cell. The value obtained for the formation energy is 0.36 eV per atom.

a b c (Å): 4.101 4.101 11.522
angles (deg): 97.89 92.10 119.89
Atoms (fractional coordinates):
1 K 0.000 0.000 0.000
2 K 0.245 0.366 0.633
3 Mn 0.491 0.899 0.402
4 Mn 0.770 0.485 0.262
5 Ni 0.123 0.181 0.314
6 Ni 0.412 0.783 0.200

---

Entry 4:
Computed, not measured: Mg3Cd4Ga after structural relaxation at the GGA-PBE level of DFT.

Properties
As for the crystal system: monoclinic. The density of states at the Fermi level comes out at 2.584 states/eV per cell. The value obtained for the formation energy is -0.07 eV per atom.

a b c (Å): 9.388 9.388 4.379
angles (deg): 103.09 103.09 27.02
Atoms (fractional coordinates):
1 Mg 0.000 0.000 0.000
2 Mg 0.249 0.249 0.249
3 Mg 0.751 0.751 0.751
4 Cd 0.125 0.125 0.625
5 Cd 0.375 0.375 0.875
6 Cd 0.625 0.625 0.125
7 Cd 0.875 0.875 0.375
8 Ga 0.500 0.500 0.500

---

Entry 5:
Computed, not measured: Mg2P2O7 after structural relaxation at the GGA-PBE level of DFT.

Properties
As for the crystal system: monoclinic. The density of states at the Fermi level comes out at 0.000 states/eV per cell. The uncorrected formation energy comes out at -2.54 eV per atom.

a b c (Å): 7.026 8.389 9.157
angles (deg): 90.00 113.54 90.00
Atoms (fractional coordinates):
1 Mg 0.196 0.060 0.323
2 Mg 0.196 0.440 0.823
3 Mg 0.268 0.071 0.890
4 Mg 0.268 0.429 0.390
5 Mg 0.732 0.571 0.610
6 Mg 0.732 0.929 0.110
7 Mg 0.804 0.560 0.177
8 Mg 0.804 0.940 0.677
9 P 0.030 0.726 0.967
10 P 0.030 0.774 0.467
11 P 0.441 0.732 0.258
12 P 0.441 0.768 0.758
13 P 0.559 0.232 0.242
14 P 0.559 0.268 0.742
15 P 0.970 0.226 0.533
16 P 0.970 0.274 0.033
17 O 0.018 0.092 0.656
18 O 0.018 0.408 0.156
19 O 0.052 0.611 0.396
20 O 0.052 0.889 0.896
21 O 0.124 0.236 0.453
22 O 0.124 0.264 0.953
23 O 0.249 0.671 0.099
24 O 0.249 0.829 0.599
25 O 0.380 0.240 0.297
26 O 0.380 0.260 0.797
27 O 0.385 0.610 0.810
28 O 0.385 0.890 0.310
29 O 0.475 0.598 0.381
30 O 0.475 0.902 0.881
31 O 0.525 0.098 0.119
32 O 0.525 0.402 0.619
33 O 0.615 0.110 0.690
34 O 0.615 0.390 0.190
35 O 0.620 0.740 0.203
36 O 0.620 0.760 0.703
37 O 0.751 0.171 0.401
38 O 0.751 0.329 0.901
39 O 0.876 0.736 0.047
40 O 0.876 0.764 0.547
41 O 0.948 0.111 0.104
42 O 0.948 0.389 0.604
43 O 0.982 0.592 0.844
44 O 0.982 0.908 0.344

---

Entry 6:
Computed, not measured: Ac2Pm3Nd6 after structural relaxation at the GGA-PBE level of DFT.

Properties
As for the crystal system: trigonal. The density of states at the Fermi level comes out at 15.865 states/eV per cell. The value obtained for the formation energy is 0.03 eV per atom.

a b c (Å): 33.456 33.456 33.456
angles (deg): 6.41 6.41 6.41
Atoms (fractional coordinates):
1 Ac 0.046 0.046 0.046
2 Ac 0.954 0.954 0.954
3 Pm 0.226 0.226 0.226
4 Pm 0.500 0.500 0.500
5 Pm 0.774 0.774 0.774
6 Nd 0.137 0.137 0.137
7 Nd 0.318 0.318 0.318
8 Nd 0.411 0.411 0.411
9 Nd 0.589 0.589 0.589
10 Nd 0.682 0.682 0.682
11 Nd 0.863 0.863 0.863

---

Entry 7:
Computed, not measured: AcIn2Au after structural relaxation at the GGA-PBE level of DFT.

Properties
As for the crystal system: orthorhombic. The density of states at the Fermi level comes out at 2.925 states/eV per cell. The value obtained for the formation energy is -0.55 eV per atom.

a b c (Å): 11.138 11.138 4.303
angles (deg): 90.00 90.00 155.32
Atoms (fractional coordinates):
1 Ac 0.138 0.862 0.000
2 Ac 0.862 0.138 0.000
3 In 0.000 0.000 0.500
4 In 0.283 0.717 0.500
5 In 0.500 0.500 0.000
6 In 0.717 0.283 0.500
7 Au 0.410 0.590 0.500
8 Au 0.590 0.410 0.500

---

Entry 8:
Computed, not measured: Zn4Cd3Au2 after structural relaxation at the GGA-PBE level of DFT.

Properties
As for the crystal system: monoclinic. The density of states at the Fermi level comes out at 2.754 states/eV per cell. The value obtained for the formation energy is -0.07 eV per atom.

a b c (Å): 6.996 6.996 8.807
angles (deg): 118.22 118.22 26.61
Atoms (fractional coordinates):
1 Zn 0.082 0.082 0.154
2 Zn 0.348 0.348 0.558
3 Zn 0.652 0.652 0.442
4 Zn 0.918 0.918 0.846
5 Cd 0.000 0.000 0.500
6 Cd 0.383 0.383 0.116
7 Cd 0.617 0.617 0.884
8 Au 0.235 0.235 0.736
9 Au 0.765 0.765 0.264

---

Entry 9:
Computed, not measured: V5Cr4Ru after structural relaxation at the GGA-PBE level of DFT.

Properties
As for the crystal system: tetragonal. The density of states at the Fermi level comes out at 6.366 states/eV per cell. The value obtained for the formation energy is -0.17 eV per atom.

a b c (Å): 2.930 2.930 14.703
angles (deg): 90.00 90.00 90.00
Atoms (fractional coordinates):
1 V 0.000 0.000 0.000
2 V 0.000 0.000 0.198
3 V 0.000 0.000 0.393
4 V 0.000 0.000 0.607
5 V 0.000 0.000 0.802
6 Cr 0.500 0.500 0.099
7 Cr 0.500 0.500 0.297
8 Cr 0.500 0.500 0.703
9 Cr 0.500 0.500 0.901
10 Ru 0.500 0.500 0.500

---

Entry 10:
Computed, not measured: Ba2PrAl2As4 after structural relaxation at the GGA-PBE level of DFT.

Properties
As for the crystal system: monoclinic. The density of states at the Fermi level comes out at 3.788 states/eV per cell. The value obtained for the formation energy is -0.94 eV per atom.

a b c (Å): 8.235 8.235 7.808
angles (deg): 108.55 108.55 30.20
Atoms (fractional coordinates):
1 Ba 0.128 0.128 0.051
2 Ba 0.872 0.872 0.949
3 Pr 0.000 0.000 0.500
4 Al 0.326 0.326 0.518
5 Al 0.674 0.674 0.482
6 As 0.209 0.209 0.681
7 As 0.475 0.475 0.754
8 As 0.525 0.525 0.246
9 As 0.791 0.791 0.319

---

Entry 11:
Computed, not measured: KNiGe2 after structural relaxation at the GGA-PBE level of DFT.

Properties
As for the crystal system: trigonal. The density of states at the Fermi level comes out at 3.597 states/eV per cell. The value obtained for the formation energy is -0.17 eV per atom.

a b c (Å): 6.959 6.959 6.959
angles (deg): 33.68 33.68 33.68
Atoms (fractional coordinates):
1 K 0.000 0.000 0.000
2 Ni 0.826 0.826 0.826
3 Ge 0.202 0.202 0.202
4 Ge 0.459 0.459 0.459